# RuSeF2 | the Alexandria database | PBE | optimized geometry
# Distance to the lowest polymorph of the same formula (meV/atom): 599
# ΔE_f (raw) (eV per atom): -0.03
# Space group: No. 225
data_RuSeF2
_cell_length_a 4.250
_cell_length_b 4.250
_cell_length_c 4.250
_cell_angle_alpha 60.00
_cell_angle_beta 60.00
_cell_angle_gamma 60.00
_symmetry_space_group_name_H-M 'P 1'
_symmetry_Int_Tables_number 1
loop_
_symmetry_equiv_pos_as_xyz
'x,y,z'
loop_
_atom_site_label
_atom_site_fract_x
_atom_site_fract_y
_atom_site_fract_z
_atom_site_occupancy
Ru1 0.000 0.000 0.000 1
Se1 0.500 0.500 0.500 1
F1 0.250 0.250 0.250 1
F2 0.750 0.750 0.750 1

---

# ScRu2Rh | the Alexandria database | PBE | optimized geometry
# Calculated formation energy (eV per formula unit): -0.7
# Space group: No. 99
data_ScRu2Rh
_cell_length_a 2.851
_cell_length_b 2.851
_cell_length_c 7.598
_cell_angle_alpha 90.00
_cell_angle_beta 90.00
_cell_angle_gamma 90.00
_symmetry_space_group_name_H-M 'P 1'
_symmetry_Int_Tables_number 1
loop_
_symmetry_equiv_pos_as_xyz
'x,y,z'
loop_
_atom_site_label
_atom_site_fract_x
_atom_site_fract_y
_atom_site_fract_z
_atom_site_occupancy
Sc1 0.000 0.000 0.000 1
Ru1 0.000 0.000 0.505 1
Ru2 0.500 0.500 0.725 1
Rh1 0.500 0.500 0.260 1

---

# HfBI2O | the Alexandria database | PBE | optimized geometry
# Distance to the lowest polymorph of the same formula (meV/atom): 476
# ΔE_f (raw) (eV per atom): 0.31
# Space group: No. 123
data_HfBI2O
_cell_length_a 5.505
_cell_length_b 5.505
_cell_length_c 3.216
_cell_angle_alpha 90.00
_cell_angle_beta 90.00
_cell_angle_gamma 90.00
_symmetry_space_group_name_H-M 'P 1'
_symmetry_Int_Tables_number 1
loop_
_symmetry_equiv_pos_as_xyz
'x,y,z'
loop_
_atom_site_label
_atom_site_fract_x
_atom_site_fract_y
_atom_site_fract_z
_atom_site_occupancy
Hf1 0.000 0.000 0.000 1
B1 0.500 0.500 0.500 1
I1 0.000 0.500 0.500 1
I2 0.500 0.000 0.500 1
O1 0.500 0.500 0.000 1

---

# BaLi2Ca2 | the Alexandria database | PBE | optimized geometry
# Distance to the lowest polymorph of the same formula (meV/atom): 52
# Calculated formation energy (eV per formula unit): 0.5
# Space group: No. 139
data_BaLi2Ca2
_cell_length_a 12.408
_cell_length_b 12.408
_cell_length_c 12.408
_cell_angle_alpha 161.57
_cell_angle_beta 161.57
_cell_angle_gamma 26.18
_symmetry_space_group_name_H-M 'P 1'
_symmetry_Int_Tables_number 1
loop_
_symmetry_equiv_pos_as_xyz
'x,y,z'
loop_
_atom_site_label
_atom_site_fract_x
_atom_site_fract_y
_atom_site_fract_z
_atom_site_occupancy
Ba1 0.000 0.000 0.000 1
Li1 0.250 0.750 0.500 1
Li2 0.750 0.250 0.500 1
Ca1 0.367 0.367 0.000 1
Ca2 0.633 0.633 0.000 1

---

# Pa2BeTc | the Alexandria database | PBE | optimized geometry
# Distance to the lowest polymorph of the same formula (meV/atom): 22
# Calculated formation energy (eV per formula unit): 0.1
# Space group: No. 123
data_Pa2BeTc
_cell_length_a 3.455
_cell_length_b 3.455
_cell_length_c 6.362
_cell_angle_alpha 90.00
_cell_angle_beta 90.00
_cell_angle_gamma 90.00
_symmetry_space_group_name_H-M 'P 1'
_symmetry_Int_Tables_number 1
loop_
_symmetry_equiv_pos_as_xyz
'x,y,z'
loop_
_atom_site_label
_atom_site_fract_x
_atom_site_fract_y
_atom_site_fract_z
_atom_site_occupancy
Pa1 0.000 0.000 0.225 1
Pa2 0.000 0.000 0.775 1
Be1 0.500 0.500 0.000 1
Tc1 0.500 0.500 0.500 1

---

# Mg2AlIn2 | the Alexandria database | PBE | optimized geometry
# Distance to the lowest polymorph of the same formula (meV/atom): 50
# Calculated formation energy (eV per formula unit): 0.7
# Space group: No. 127
data_Mg2AlIn2
_cell_length_a 8.169
_cell_length_b 8.169
_cell_length_c 3.593
_cell_angle_alpha 90.00
_cell_angle_beta 90.00
_cell_angle_gamma 90.00
_symmetry_space_group_name_H-M 'P 1'
_symmetry_Int_Tables_number 1
loop_
_symmetry_equiv_pos_as_xyz
'x,y,z'
loop_
_atom_site_label
_atom_site_fract_x
_atom_site_fract_y
_atom_site_fract_z
_atom_site_occupancy
Mg1 0.132 0.368 0.000 1
Mg2 0.368 0.868 0.000 1
Mg3 0.632 0.132 0.000 1
Mg4 0.868 0.632 0.000 1
Al1 0.000 0.000 0.000 1
Al2 0.500 0.500 0.000 1
In1 0.170 0.670 0.500 1
In2 0.330 0.170 0.500 1
In3 0.670 0.830 0.500 1
In4 0.830 0.330 0.500 1

---

# UTaN2 | the Alexandria database | PBE | optimized geometry
# ΔE_f (raw) (eV per atom): -1.31
# Space group: No. 62
data_UTaN2
_cell_length_a 5.647
_cell_length_b 3.240
_cell_length_c 11.035
_cell_angle_alpha 90.00
_cell_angle_beta 90.00
_cell_angle_gamma 90.00
_symmetry_space_group_name_H-M 'P 1'
_symmetry_Int_Tables_number 1
loop_
_symmetry_equiv_pos_as_xyz
'x,y,z'
loop_
_atom_site_label
_atom_site_fract_x
_atom_site_fract_y
_atom_site_fract_z
_atom_site_occupancy
U1 0.078 0.250 0.143 1
U2 0.422 0.750 0.643 1
U3 0.578 0.250 0.357 1
U4 0.922 0.750 0.857 1
Ta1 0.075 0.750 0.398 1
Ta2 0.425 0.250 0.898 1
Ta3 0.575 0.750 0.102 1
Ta4 0.925 0.250 0.602 1
N1 0.163 0.250 0.755 1
N2 0.240 0.750 0.995 1
N3 0.260 0.250 0.495 1
N4 0.337 0.750 0.255 1
N5 0.663 0.250 0.745 1
N6 0.740 0.750 0.505 1
N7 0.760 0.250 0.005 1
N8 0.837 0.750 0.245 1

---

no.,density (kg/m³),final energy (eV per cell)
1,6668,-16.62
2,9413,-32.97
3,7824,-23.14
4,2013,-9.28
5,12441,-32.99
6,4228,-23.35
7,14708,-180.16